Material: ZnCuTcGe
Method: DFT, PBE-GGA
State: optimized geometry

Cell: 4.2906 4.2906 4.2906 Å, 60.00 60.00 60.00°
Closest atoms and distances in Å follow each position.
Fractional positions:
Cu 0.7500 0.7500 0.7500  4 Ge 2.63, 4 Zn 2.63
Ge 0.0000 0.0000 0.0000  4 Tc 2.63, 4 Cu 2.63
Tc 0.2500 0.2500 0.2500  4 Zn 2.63, 4 Ge 2.63
Zn 0.5000 0.5000 0.5000  4 Tc 2.63, 4 Cu 2.63

Calculated values
SG: No. 216
Total energy: -4.95 eV/atom
ΔH_f (0 K): 0.14 eV/atom

Material: Cu3GeTe4
Method: DFT, PBE-GGA
State: optimized geometry

Cell: 7.0322 7.2922 8.3873 Å, 90.00 90.00 90.00°
Closest atoms and distances in Å follow each position.
Fractional positions:
Cu 0.9983 0.6679 0.2501  4 Te 2.56-2.57
Te 0.6349 0.1773 0.5000  3 Cu 2.57, 1 Ge 2.67
Te 0.6331 0.6602 0.7561  3 Cu 2.57-2.58, 1 Ge 2.67
Te 0.6178 0.1678 0.0000  3 Cu 2.56, 1 Ge 2.69
Cu 0.4983 0.3321 0.2499  4 Te 2.56-2.57
Cu 0.4983 0.3321 0.7501  4 Te 2.56-2.57
Ge 0.4996 0.8359 0.5000  4 Te 2.67-2.69
Cu 0.0003 0.1651 0.5000  4 Te 2.56-2.58
Ge 0.9996 0.1641 0.0000  4 Te 2.67-2.69
Te 0.6331 0.6602 0.2439  3 Cu 2.57-2.58, 1 Ge 2.67
Te 0.1331 0.3398 0.7439  3 Cu 2.57-2.58, 1 Ge 2.67
Te 0.1349 0.8227 0.0000  3 Cu 2.57, 1 Ge 2.67
Cu 0.5003 0.8349 0.0000  4 Te 2.56-2.58
Te 0.1331 0.3398 0.2561  3 Cu 2.57-2.58, 1 Ge 2.67
Cu 0.9983 0.6679 0.7499  4 Te 2.56-2.57
Te 0.1178 0.8322 0.5000  3 Cu 2.56, 1 Ge 2.69

Calculated values
SG: No. 31
Total energy: -3.79 eV/atom
Uncorrected formation energy: -0.103 eV/atom

Material: CuGe2Te3
Method: DFT, PBE-GGA
State: optimized geometry

Cell: 6.4532 7.7362 7.7362 Å, 107.97 90.00 90.00°
Closest atoms and distances in Å follow each position.
Fractional positions:
Te 0.4496 0.8837 0.8837  2 Cu 2.57-2.63, 2 Ge 2.80
Ge 0.5230 0.8215 0.5133  3 Te 2.74-2.80
Cu 0.0565 0.8370 0.8370  4 Te 2.57-2.63
Ge 0.0230 0.1785 0.4867  3 Te 2.74-2.80
Ge 0.0230 0.4867 0.1785  3 Te 2.74-2.80
Ge 0.5230 0.5133 0.8215  3 Te 2.74-2.80
Cu 0.5565 0.1630 0.1630  4 Te 2.57-2.63
Te 0.4530 0.4857 0.1616  1 Cu 2.59, 2 Ge 2.74-2.78
Te 0.9496 0.1163 0.1163  2 Cu 2.57-2.63, 2 Ge 2.80
Te 0.4530 0.1616 0.4857  1 Cu 2.59, 2 Ge 2.74-2.78
Te 0.9530 0.5143 0.8384  1 Cu 2.59, 2 Ge 2.74-2.78
Te 0.9530 0.8384 0.5143  1 Cu 2.59, 2 Ge 2.74-2.78

Calculated values
SG: No. 36
Total energy: -3.78 eV/atom
Uncorrected formation energy: 0.016 eV/atom

Material: Cu2GeTe6
Method: DFT, PBE-GGA
State: optimized geometry

Cell: 7.4205 9.2899 9.2899 Å, 102.08 71.32 71.32°
Closest atoms and distances in Å follow each position.
Fractional positions:
Te 0.3166 0.4300 0.9238  1 Ge 2.65, 1 Cu 2.67
Cu 0.2751 0.2861 0.4371  5 Te 2.61-2.68
Te 0.0860 0.4909 0.3197  3 Cu 2.61-2.68
Te 0.8941 0.1785 0.0361  1 Cu 2.63, 1 Ge 2.68
Te 0.9140 0.5091 0.6803  3 Cu 2.61-2.68
Te 0.4140 0.6803 0.5091  3 Cu 2.61-2.68
Te 0.8166 0.9238 0.4300  1 Ge 2.65, 1 Cu 2.67
Cu 0.7751 0.4371 0.2861  5 Te 2.61-2.68
Te 0.3941 0.0361 0.1785  1 Cu 2.63, 1 Ge 2.68
Te 0.5860 0.3197 0.4909  3 Cu 2.61-2.68
Te 0.6834 0.5700 0.0762  1 Ge 2.65, 1 Cu 2.67
Te 0.1834 0.0762 0.5700  1 Ge 2.65, 1 Cu 2.67
Te 0.1059 0.8215 0.9639  1 Cu 2.63, 1 Ge 2.68
Cu 0.7249 0.7139 0.5629  5 Te 2.61-2.68
Cu 0.2249 0.5629 0.7139  5 Te 2.61-2.68
Te 0.6059 0.9639 0.8215  1 Cu 2.63, 1 Ge 2.68
Ge 0.7500 0.8313 0.1687  4 Te 2.65-2.68
Ge 0.2500 0.1687 0.8313  4 Te 2.65-2.68

Calculated values
SG: No. 15
Total energy: -3.49 eV/atom
Uncorrected formation energy: 0.031 eV/atom

Material: Cu4GeTe5
Method: DFT, PBE-GGA
State: optimized geometry

Cell: 4.2728 4.2728 17.2687 Å, 82.89 82.89 60.00°
Closest atoms and distances in Å follow each position.
Fractional positions:
Te 0.4021 0.4021 0.7937  4 Cu 2.58
Cu 0.3519 0.3519 0.9444  4 Te 2.54-2.58
Cu 0.7499 0.7499 0.7503  4 Te 2.56-2.58
Cu 0.1479 0.1479 0.5562  4 Te 2.57-2.58
Te 0.1981 0.1981 0.4057  4 Cu 2.56-2.57
Te 0.0066 0.0066 0.9801  3 Cu 2.54, 1 Ge 2.69
Te 0.7998 0.7998 0.6006  4 Cu 2.56-2.58
Ge 0.9541 0.9541 0.1376  4 Te 2.69-2.80
Cu 0.5445 0.5445 0.3665  4 Te 2.56-2.59
Te 0.5950 0.5950 0.2150  1 Cu 2.59, 3 Ge 2.80

Calculated values
SG: No. 160
Total energy: -3.69 eV/atom
Uncorrected formation energy: -0.015 eV/atom

Material: Cu2GeTe
Method: DFT, PBE-GGA
State: optimized geometry

Cell: 6.2479 6.2479 6.3428 Å, 60.49 60.49 90.00°
Closest atoms and distances in Å follow each position.
Fractional positions:
Te 0.7500 0.2500 0.5000  4 Cu 2.56
Ge 0.5000 0.5000 0.0000  4 Cu 2.41
Cu 0.3750 0.3932 0.7500  2 Ge 2.41, 2 Te 2.56
Ge 0.2500 0.7500 0.5000  4 Cu 2.41
Cu 0.8750 0.8568 0.7500  2 Ge 2.41, 2 Te 2.56
Cu 0.6068 0.1250 0.2500  2 Ge 2.41, 2 Te 2.56
Te 0.0000 0.0000 0.0000  4 Cu 2.56
Cu 0.1432 0.6250 0.2500  2 Ge 2.41, 2 Te 2.56

Calculated values
SG: No. 122
Total energy: -3.72 eV/atom
Uncorrected formation energy: 0.272 eV/atom

Material: Cu2GeTe2
Method: DFT, PBE-GGA
State: optimized geometry

Cell: 5.9752 6.4914 7.7110 Å, 111.96 109.66 96.96°
Closest atoms and distances in Å follow each position.
Fractional positions:
Te 0.3868 0.6368 0.2737  4 Cu 2.61-2.68
Cu 0.6050 0.7030 0.0392  1 Cu 2.53, 3 Te 2.57-2.68, 1 Ge 2.66
Cu 0.3950 0.2970 0.9608  1 Cu 2.53, 3 Te 2.57-2.68, 1 Ge 2.66
Ge 0.6509 0.9009 0.8019  2 Cu 2.66, 1 Te 2.93
Te 0.6132 0.3632 0.7263  4 Cu 2.61-2.68
Ge 0.3491 0.0991 0.1981  2 Cu 2.66, 1 Te 2.93
Cu 0.9341 0.3362 0.0392  1 Cu 2.53, 3 Te 2.57-2.68, 1 Ge 2.66
Te 0.8763 0.1263 0.2525  2 Cu 2.57
Cu 0.0659 0.6638 0.9608  1 Cu 2.53, 3 Te 2.57-2.68, 1 Ge 2.66
Te 0.1237 0.8737 0.7475  2 Cu 2.57

Calculated values
SG: No. 15
Total energy: -3.83 eV/atom
Uncorrected formation energy: -0.008 eV/atom

Material: CuGe2Te2
Method: DFT, PBE-GGA
State: optimized geometry

Cell: 5.6789 5.6789 5.5251 Å, 59.07 59.07 90.00°
Closest atoms and distances in Å follow each position.
Fractional positions:
Ge 0.6747 0.6747 0.6505  1 Cu 2.47, 1 Ge 2.65
Cu 0.0000 0.0000 0.0000  2 Ge 2.47
Ge 0.3253 0.3253 0.3495  1 Cu 2.47, 1 Ge 2.65
Te 0.2500 0.7500 0.5000  4 Ge 2.90
Te 0.7500 0.2500 0.5000  4 Ge 2.90

Calculated values
SG: No. 139
Total energy: -3.68 eV/atom
Uncorrected formation energy: 0.248 eV/atom

Material: CuGe2Te2
Method: DFT, PBE-GGA
State: optimized geometry

Cell: 7.6044 7.6044 4.0944 Å, 90.00 90.00 90.00°
Closest atoms and distances in Å follow each position.
Fractional positions:
Te 0.6742 0.8258 0.5000  2 Ge 2.80
Te 0.1742 0.6742 0.5000  2 Ge 2.80
Cu 0.0000 0.0000 0.0000  4 Ge 2.90
Ge 0.1487 0.3513 0.0000  2 Te 2.80, 2 Cu 2.90
Ge 0.6487 0.1487 0.0000  2 Te 2.80, 2 Cu 2.90
Ge 0.3513 0.8513 0.0000  2 Te 2.80, 2 Cu 2.90
Te 0.8258 0.3258 0.5000  2 Ge 2.80
Ge 0.8513 0.6487 0.0000  2 Te 2.80, 2 Cu 2.90
Cu 0.5000 0.5000 0.0000  4 Ge 2.90
Te 0.3258 0.1742 0.5000  2 Ge 2.80

Calculated values
SG: No. 127
Total energy: -3.59 eV/atom
Uncorrected formation energy: 0.330 eV/atom

Material: CuGe3Te
Method: DFT, PBE-GGA
State: optimized geometry

Cell: 4.8073 4.8073 4.8073 Å, 90.00 90.00 90.00°
Closest atoms and distances in Å follow each position.
Fractional positions:
Te 0.5000 0.5000 0.5000  12 Ge 3.40
Ge 0.0000 0.0000 0.5000  2 Cu 2.40
Ge 0.5000 0.0000 0.0000  2 Cu 2.40
Cu 0.0000 0.0000 0.0000  6 Ge 2.40
Ge 0.0000 0.5000 0.0000  2 Cu 2.40

Calculated values
SG: No. 221
Total energy: -3.87 eV/atom
Uncorrected formation energy: 0.348 eV/atom

Material: Cu3GeTe4
Method: DFT, PBE-GGA
State: optimized geometry

Cell: 7.4996 7.4102 8.4745 Å, 90.00 90.00 90.00°
Closest atoms and distances in Å follow each position.
Fractional positions:
Te 0.5319 0.1657 0.0000  3 Cu 2.61-2.62, 1 Ge 2.67
Ge 0.6762 0.8350 0.5000  4 Te 2.67-2.71
Cu 0.4737 0.3402 0.2643  4 Te 2.55-2.62
Te 0.1307 0.8024 0.0000  3 Cu 2.55-2.60, 1 Ge 2.71
Te 0.6257 0.6474 0.2296  3 Cu 2.56-2.61, 1 Ge 2.71
Te 0.6257 0.6474 0.7704  3 Cu 2.56-2.61, 1 Ge 2.71
Cu 0.9737 0.6598 0.7643  4 Te 2.55-2.62
Te 0.1257 0.3526 0.7296  3 Cu 2.56-2.61, 1 Ge 2.71
Cu 0.9737 0.6598 0.2357  4 Te 2.55-2.62
Ge 0.1762 0.1650 0.0000  4 Te 2.67-2.71
Te 0.0319 0.8343 0.5000  3 Cu 2.61-2.62, 1 Ge 2.67
Cu 0.4775 0.8181 0.0000  4 Te 2.57-2.61
Cu 0.4737 0.3402 0.7357  4 Te 2.55-2.62
Te 0.6307 0.1976 0.5000  3 Cu 2.55-2.60, 1 Ge 2.71
Cu 0.9775 0.1819 0.5000  4 Te 2.57-2.61
Te 0.1257 0.3526 0.2704  3 Cu 2.56-2.61, 1 Ge 2.71

Calculated values
SG: No. 31
Total energy: -3.70 eV/atom
Uncorrected formation energy: -0.019 eV/atom